## one
This record from Alexandria describes an optimized crystal structure of Mn2In2Si. The functional is PBE. Values from VASP.

Quantum ESPRESSO input file:
```
&SYSTEM
  ibrav = 0, nat = 5, ntyp = 3
/
ATOMIC_SPECIES
In 114.82 In.upf
Si 28.09 Si.upf
Mn 54.94 Mn.upf
CELL_PARAMETERS angstrom
-1.605 1.220 3.346
-3.541 -0.939 -1.356
-1.943 -5.803 3.465
ATOMIC_POSITIONS crystal
In 0.750 0.250 0.500
Si 0.000 0.000 0.000
Mn 0.409 0.409 0.182
Mn 0.591 0.591 0.818
In 0.250 0.750 0.500
```

Summary:
As for the magnetization: 6.1 μB per formula unit. As for the density: 6.2 g cm⁻³.

## two
This record from Alexandria describes an optimized crystal structure of Mn2In2Si. The functional is PBE. Values from VASP.

Quantum ESPRESSO input file:
```
&SYSTEM
  ibrav = 0, nat = 10, ntyp = 3
/
ATOMIC_SPECIES
Mn 54.94 Mn.upf
Si 28.09 Si.upf
In 114.82 In.upf
CELL_PARAMETERS angstrom
-0.993 3.783 4.808
-5.965 -1.679 0.089
0.950 -3.230 2.738
ATOMIC_POSITIONS crystal
Mn 0.151 0.349 0.000
Si 0.500 0.500 0.000
Mn 0.349 0.849 0.000
In 0.836 0.336 0.500
Mn 0.651 0.151 0.000
In 0.336 0.164 0.500
Si 0.000 0.000 0.000
Mn 0.849 0.651 0.000
In 0.664 0.836 0.500
In 0.164 0.664 0.500
```

Summary:
As for the magnetization: 4.1 μB per formula unit. As for the density: 7.3 g cm⁻³.

Least stable structure: one

## one
This record from Alexandria describes an optimized crystal structure of SrMn3In. The functional is PBE. Values from VASP.

Quantum ESPRESSO input file:
```
&SYSTEM
  ibrav = 0, nat = 5, ntyp = 3
/
ATOMIC_SPECIES
Sr 87.62 Sr.upf
Mn 54.94 Mn.upf
In 114.82 In.upf
CELL_PARAMETERS angstrom
5.391 0.000 0.000
0.000 5.391 0.000
0.000 0.000 5.391
ATOMIC_POSITIONS crystal
Sr 0.000 0.000 0.000
Mn 0.500 0.000 0.000
Mn 0.000 0.500 0.000
Mn 0.000 0.000 0.500
In 0.500 0.500 0.500
```

Summary:
As for the magnetization: 12.5 μB per formula unit. As for the density: 3.9 g cm⁻³.

## two
This record from Alexandria describes an optimized crystal structure of SrMn3In. The functional is PBE. Values from VASP.

Quantum ESPRESSO input file:
```
&SYSTEM
  ibrav = 0, nat = 5, ntyp = 3
/
ATOMIC_SPECIES
Sr 87.62 Sr.upf
In 114.82 In.upf
Mn 54.94 Mn.upf
CELL_PARAMETERS angstrom
-2.209 -3.036 -3.555
4.634 -0.906 -2.106
0.614 -4.086 3.108
ATOMIC_POSITIONS crystal
Sr 0.500 0.500 0.500
In 0.000 0.000 0.000
Mn 0.500 0.000 0.000
Mn 0.000 0.500 0.000
Mn 0.000 0.000 0.500
```

Summary:
As for the magnetization: 12.0 μB per formula unit. As for the density: 4.4 g cm⁻³.

Least stable structure: one

## one
This record from Alexandria describes an optimized crystal structure of Ta3MnIn. The functional is PBE. Values from VASP.

Quantum ESPRESSO input file:
```
&SYSTEM
  ibrav = 0, nat = 5, ntyp = 3
/
ATOMIC_SPECIES
Ta 180.95 Ta.upf
In 114.82 In.upf
Mn 54.94 Mn.upf
CELL_PARAMETERS angstrom
4.998 0.000 0.000
0.000 4.998 0.000
0.000 0.000 4.998
ATOMIC_POSITIONS crystal
Ta 0.500 0.000 0.000
Ta 0.000 0.000 0.500
Ta 0.000 0.500 0.000
In 0.000 0.000 0.000
Mn 0.500 0.500 0.500
```

Summary:
As for the magnetization: 4.6 μB per formula unit. As for the density: 9.5 g cm⁻³.

## two
This record from Alexandria describes an optimized crystal structure of Ta3MnIn. The functional is PBE. Values from VASP.

Quantum ESPRESSO input file:
```
&SYSTEM
  ibrav = 0, nat = 5, ntyp = 3
/
ATOMIC_SPECIES
Ta 180.95 Ta.upf
Mn 54.94 Mn.upf
In 114.82 In.upf
CELL_PARAMETERS angstrom
-2.541 -3.673 -1.209
1.724 0.219 -4.289
3.462 -2.805 1.248
ATOMIC_POSITIONS crystal
Ta 0.000 0.500 0.000
Mn 0.000 0.000 0.000
Ta 0.500 0.000 0.000
Ta 0.000 0.000 0.500
In 0.500 0.500 0.500
```

Summary:
As for the magnetization: 0.0 μB per formula unit. As for the density: 11.9 g cm⁻³.

Least stable structure: one

## one
This record from Alexandria describes an optimized crystal structure of TaMnIn. The functional is PBE. Values from VASP.

Quantum ESPRESSO input file:
```
&SYSTEM
  ibrav = 0, nat = 3, ntyp = 3
/
ATOMIC_SPECIES
In 114.82 In.upf
Mn 54.94 Mn.upf
Ta 180.95 Ta.upf
CELL_PARAMETERS angstrom
-1.965 -0.017 -2.401
-0.518 -1.843 2.441
-3.482 4.708 2.816
ATOMIC_POSITIONS crystal
In 0.000 0.000 0.016
Mn 0.667 0.333 0.360
Ta 0.333 0.667 0.623
```

Summary:
As for the magnetization: 0.9 μB per formula unit. As for the density: 10.8 g cm⁻³.

## two
This record from Alexandria describes an optimized crystal structure of TaMnIn. The functional is PBE. Values from VASP.

Quantum ESPRESSO input file:
```
&SYSTEM
  ibrav = 0, nat = 3, ntyp = 3
/
ATOMIC_SPECIES
Ta 180.95 Ta.upf
Mn 54.94 Mn.upf
In 114.82 In.upf
CELL_PARAMETERS angstrom
-4.132 -1.364 -1.266
2.419 -2.498 2.905
-1.155 1.449 2.208
ATOMIC_POSITIONS crystal
Ta 0.333 0.667 0.604
Mn 0.667 0.333 0.335
In 0.000 0.000 0.061
```

Summary:
As for the magnetization: 1.5 μB per formula unit. As for the density: 11.4 g cm⁻³.

## three
This record from Alexandria describes an optimized crystal structure of TaMnIn. The functional is PBE. Values from VASP.

Quantum ESPRESSO input file:
```
&SYSTEM
  ibrav = 0, nat = 3, ntyp = 3
/
ATOMIC_SPECIES
Ta 180.95 Ta.upf
In 114.82 In.upf
Mn 54.94 Mn.upf
CELL_PARAMETERS angstrom
-3.198 -0.390 2.912
0.946 -0.570 4.200
-0.746 3.194 2.846
ATOMIC_POSITIONS crystal
Ta 0.000 0.000 0.000
In 0.500 0.500 0.500
Mn 0.250 0.250 0.250
```

Summary:
As for the magnetization: 0.9 μB per formula unit. As for the density: 10.1 g cm⁻³.

## four
This record from Alexandria describes an optimized crystal structure of TaMnIn. The functional is PBE. Values from VASP.

Quantum ESPRESSO input file:
```
&SYSTEM
  ibrav = 0, nat = 3, ntyp = 3
/
ATOMIC_SPECIES
Mn 54.94 Mn.upf
In 114.82 In.upf
Ta 180.95 Ta.upf
CELL_PARAMETERS angstrom
-5.470 -0.414 -0.916
-2.932 -2.075 -4.244
4.186 -0.775 3.577
ATOMIC_POSITIONS crystal
Mn 0.316 0.316 0.000
In 0.992 0.992 0.000
Ta 0.692 0.692 0.000
```

Summary:
As for the magnetization: 1.4 μB per formula unit. As for the density: 11.3 g cm⁻³.

Least stable structure: three